# LaV2ReB GGA-PBE relaxed
# * relative energy among the computed polymorphs: 48 meV/atom
# * electronic total energy: -38.8 eV for the cell shown
# * energy relative to the elements: 0.7038 eV/atom
data_LaV2ReB
_symmetry_space_group_name_H-M 'P 4/m m m'
_symmetry_Int_Tables_number 123
_symmetry_space_group_name_Hall '-P 4 2'
_cell_length_a 4.0993
_cell_length_b 4.0993
_cell_length_c 5.0921
_cell_angle_alpha 90.00
_cell_angle_beta 90.00
_cell_angle_gamma 90.00
loop_
_atom_site_label
_atom_site_type_symbol
_atom_site_fract_x
_atom_site_fract_y
_atom_site_fract_z
La1 La 0.0000 0.0000 0.0000
V1 V 0.0000 0.5000 0.5000
Re1 Re 0.5000 0.5000 0.0000
B1 B 0.0000 0.0000 0.5000

# LaV2ReB GGA-PBE relaxed
# * relative energy among the computed polymorphs: 0 meV/atom
# * electronic total energy: -39.0 eV for the cell shown
# * energy relative to the elements: 0.6562 eV/atom
data_LaV2ReB
_symmetry_space_group_name_H-M 'P 4/m m m'
_symmetry_Int_Tables_number 123
_symmetry_space_group_name_Hall '-P 4 2'
_cell_length_a 4.7627
_cell_length_b 4.7627
_cell_length_c 4.3245
_cell_angle_alpha 90.00
_cell_angle_beta 90.00
_cell_angle_gamma 90.00
loop_
_atom_site_label
_atom_site_type_symbol
_atom_site_fract_x
_atom_site_fract_y
_atom_site_fract_z
La1 La 0.0000 0.0000 0.0000
V1 V 0.0000 0.5000 0.5000
Re1 Re 0.5000 0.5000 0.5000
B1 B 0.5000 0.5000 0.0000

# LaYRe2B GGA-PBE relaxed
# * electronic total energy: -33.0 eV for the cell shown
# * energy relative to the elements: 2.0020 eV/atom
data_LaYRe2B
_symmetry_space_group_name_H-M 'P 4/m m m'
_symmetry_Int_Tables_number 123
_symmetry_space_group_name_Hall '-P 4 2'
_cell_length_a 5.0293
_cell_length_b 5.0293
_cell_length_c 4.6854
_cell_angle_alpha 90.00
_cell_angle_beta 90.00
_cell_angle_gamma 90.00
loop_
_atom_site_label
_atom_site_type_symbol
_atom_site_fract_x
_atom_site_fract_y
_atom_site_fract_z
La1 La 0.0000 0.0000 0.0000
Y1 Y 0.5000 0.5000 0.5000
Re1 Re 0.0000 0.5000 0.5000
B1 B 0.5000 0.5000 0.0000

> Which value of electronic total energy does entry 1 give?

-38.8 eV for the cell shown

> What is the energy relative to the elements in the first record?

0.7038 eV/atom

> What is the formula in the first record?

LaV2ReB